Here is a relaxed Ba2InGa3Hg4 crystal from Alexandria. Energies are from PBE.

```
Ba2InGa3Hg4
1.0
4.857 0.000 0.000
0.000 4.857 0.000
0.000 0.000 11.559
Ba In Ga Hg
2 1 3 4
direct
0.000 0.500 0.244 Ba
0.500 0.000 0.756 Ba
0.000 0.000 0.500 In
0.000 0.500 0.874 Ga
0.500 0.000 0.126 Ga
0.500 0.500 0.500 Ga
0.000 0.000 0.000 Hg
0.000 0.500 0.640 Hg
0.500 0.000 0.360 Hg
0.500 0.500 0.000 Hg
```

The energy comes out at -20.521 eV/cell. Its space group is P-4m2 (115). The calculation puts the formation energy at -365 meV per atom. Its spin magnetization is 0.00 μB/f.u.

***

Here is a relaxed Ba2In4GaHg3 crystal from Alexandria. Energies are from PBE.

```
Ba2In4GaHg3
1.0
4.965 0.000 0.000
0.000 4.965 0.000
0.000 0.000 11.988
Ba In Ga Hg
2 4 1 3
direct
0.000 0.500 0.242 Ba
0.500 0.000 0.758 Ba
0.000 0.000 0.500 In
0.000 0.500 0.876 In
0.500 0.000 0.124 In
0.500 0.500 0.500 In
0.500 0.500 0.000 Ga
0.000 0.000 0.000 Hg
0.000 0.500 0.639 Hg
0.500 0.000 0.361 Hg
```

The energy comes out at -22.430 eV/cell. Its space group is P-4m2 (115). The calculation puts the formation energy at -370 meV per atom. Its spin magnetization is 0.00 μB/f.u.

***

Here is a relaxed Ba2In6GaHg crystal from Alexandria. Energies are from PBE.

```
Ba2In6GaHg
1.0
3.658 2.112 13.957
-3.658 2.112 13.957
0.000 -4.224 13.957
Ba In Ga Hg
4 12 2 2
direct
0.138 0.138 0.138 Ba
0.309 0.309 0.309 Ba
0.691 0.691 0.691 Ba
0.862 0.862 0.862 Ba
0.067 0.644 0.644 In
0.199 0.199 0.774 In
0.199 0.774 0.199 In
0.226 0.801 0.801 In
0.356 0.356 0.933 In
0.356 0.933 0.356 In
0.644 0.067 0.644 In
0.644 0.644 0.067 In
0.774 0.199 0.199 In
0.801 0.226 0.801 In
0.801 0.801 0.226 In
0.933 0.356 0.356 In
0.418 0.418 0.418 Ga
0.582 0.582 0.582 Ga
0.000 0.000 0.000 Hg
0.500 0.500 0.500 Hg
```

The energy comes out at -50.636 eV/cell. Its space group is R-3m (166). The calculation puts the formation energy at -171 meV per atom. Its spin magnetization is 0.00 μB/f.u.